[1]
Density functional theory data (PBE) for an optimized crystal structure of TlSb2Se.

Results
* raw formation energy: 0.104 eV per atom
* E_tot: -13.68 eV per formula unit

The structure in POSCAR format:
```
TlSb2Se
1.0
3.651 0.000 0.000
-1.825 3.162 0.000
0.000 0.000 29.491
Tl Sb Se
3 6 3
Cartesian
0.000 0.000 0.000
0.000 2.108 19.661
1.825 1.054 9.830
0.000 0.000 6.935
0.000 0.000 22.556
0.000 2.108 12.726
0.000 2.108 26.596
1.825 1.054 2.895
1.825 1.054 16.766
0.000 0.000 14.746
0.000 2.108 4.915
1.825 1.054 24.576
```

=====

[2]
Density functional theory data (PBE) for an optimized crystal structure of TaTl3W.

Results
* formation energy from the elements: 1887.1 meV/atom
* E_tot: -22.47 eV per formula unit

The structure in POSCAR format:
```
TaTl3W
1.0
5.426 0.000 0.000
0.000 5.426 0.000
0.000 0.000 5.426
Ta Tl W
1 3 1
Cartesian
0.000 0.000 0.000
0.000 0.000 2.713
0.000 2.713 0.000
2.713 0.000 0.000
2.713 2.713 2.713
```

=====

[3]
Density functional theory data (PBE) for an optimized crystal structure of Mn4CrCo2.

Results
* formation energy from the elements: 236.3 meV/atom
* E_tot: -58.86 eV per formula unit

The structure in POSCAR format:
```
Mn4CrCo2
1.0
0.000 4.149 4.201
2.233 0.000 4.201
2.233 4.149 0.000
Mn Cr Co
4 1 2
Cartesian
2.233 4.149 1.650
1.117 2.075 2.101
3.350 6.224 6.302
2.233 4.149 6.753
2.233 4.149 4.201
2.233 1.635 4.201
2.233 6.664 4.201
```

=====

[4]
Density functional theory data (PBE) for an optimized crystal structure of AsPb2Se.

Results
* raw formation energy: -0.042 eV per atom
* E_tot: -15.72 eV per formula unit

The structure in POSCAR format:
```
AsPb2Se
1.0
7.425 0.000 0.000
0.000 7.425 0.000
0.000 0.000 9.960
As Pb Se
4 8 4
Cartesian
0.000 0.000 0.000
0.000 3.712 2.490
3.712 0.000 7.470
3.712 3.712 4.980
1.783 5.568 1.245
1.856 1.783 8.715
1.856 1.930 3.735
1.930 5.568 6.225
5.495 1.856 6.225
5.568 5.495 3.735
5.568 5.642 8.715
5.642 1.856 1.245
0.000 0.000 4.980
0.000 3.712 7.470
3.712 0.000 2.490
3.712 3.712 0.000
```

=====

[5]
Density functional theory data (PBE) for an optimized crystal structure of Pr3Y.

Results
* formation energy from the elements: 25.5 meV/atom
* E_tot: -20.70 eV per formula unit

The structure in POSCAR format:
```
Pr3Y
1.0
7.453 0.000 0.000
-3.727 6.455 0.000
0.000 0.000 5.937
Pr Y
6 2
Cartesian
0.000 2.163 1.484
-1.854 5.373 1.484
1.873 1.081 4.453
1.854 5.373 1.484
5.580 1.081 4.453
3.727 4.292 4.453
0.000 4.303 4.453
3.727 2.152 1.484
```

=====

[6]
Density functional theory data (PBE) for an optimized crystal structure of TlPt3Se.

Results
* raw formation energy: 0.426 eV per atom
* E_tot: -21.84 eV per formula unit

The structure in POSCAR format:
```
TlPt3Se
1.0
4.794 0.000 0.000
0.000 4.794 0.000
0.000 0.000 4.794
Tl Pt Se
1 3 1
Cartesian
0.000 0.000 0.000
0.000 2.397 2.397
2.397 0.000 2.397
2.397 2.397 0.000
2.397 2.397 2.397
```

=====

[7]
Density functional theory data (PBE) for an optimized crystal structure of PaIr2Os.

Results
* formation energy from the elements: -635.4 meV/atom
* E_tot: -40.99 eV per formula unit

The structure in POSCAR format:
```
PaIr2Os
1.0
4.062 0.000 0.000
0.000 4.062 0.000
0.000 0.000 4.114
Pa Ir Os
1 2 1
Cartesian
0.000 0.000 0.000
0.000 2.031 2.057
2.031 0.000 2.057
2.031 2.031 0.000
```

=====

[8]
Density functional theory data (PBE) for an optimized crystal structure of TlMoRu.

Results
* formation energy from the elements: 485.8 meV/atom
* E_tot: -21.02 eV per formula unit

The structure in POSCAR format:
```
TlMoRu
1.0
2.955 0.000 0.000
-1.477 2.559 0.000
0.000 0.000 7.003
Tl Mo Ru
1 1 1
Cartesian
0.000 0.000 0.000
0.000 1.706 2.554
1.477 0.853 4.539
```

=====

[9]
Density functional theory data (PBE) for an optimized crystal structure of NdZrO3.

Results
* raw formation energy: -3.030 eV per atom
* E_tot: -43.34 eV per formula unit

The structure in POSCAR format:
```
NdZrO3
1.0
4.992 -3.073 0.000
4.992 3.073 0.000
-3.213 0.000 4.671
Nd Zr O
2 2 6
Cartesian
1.800 0.000 1.004
4.971 0.000 3.668
-1.607 0.000 2.336
4.992 0.000 0.000
3.720 1.535 0.846
0.469 0.000 2.948
3.051 1.535 3.826
3.720 -1.535 0.846
6.303 0.000 1.723
3.051 -1.535 3.826
```

=====

[10]
Density functional theory data (PBE) for an optimized crystal structure of SrAlN2.

Results
* raw formation energy: 0.299 eV per atom
* E_tot: -20.88 eV per formula unit

The structure in POSCAR format:
```
SrAlN2
1.0
3.282 0.000 0.000
-1.641 2.842 0.000
0.000 0.000 19.097
Sr Al N
3 3 6
Cartesian
0.000 0.000 0.000
0.000 1.895 12.731
1.641 0.947 6.366
0.000 0.000 9.549
0.000 1.895 3.183
1.641 0.947 15.914
0.000 0.000 2.287
0.000 0.000 16.810
0.000 1.895 10.445
0.000 1.895 15.018
1.641 0.947 4.079
1.641 0.947 8.652
```

=====

[11]
Density functional theory data (PBE) for an optimized crystal structure of ScTi2I2.

Results
* raw formation energy: 0.188 eV per atom
* E_tot: -24.28 eV per formula unit

The structure in POSCAR format:
```
ScTi2I2
1.0
5.232 0.000 0.000
0.000 5.232 0.000
0.000 0.000 8.495
Sc Ti I
2 4 4
Cartesian
0.000 0.000 0.000
2.616 2.616 4.247
0.000 0.000 3.210
0.000 0.000 5.285
2.616 2.616 1.038
2.616 2.616 7.457
0.000 2.616 2.124
0.000 2.616 6.371
2.616 0.000 2.124
2.616 0.000 6.371
```

=====

[12]
Density functional theory data (PBE) for an optimized crystal structure of LiAc2Rh.

Results
* formation energy from the elements: -232.6 meV/atom
* E_tot: -18.41 eV per formula unit

The structure in POSCAR format:
```
LiAc2Rh
1.0
4.244 0.000 0.000
-2.122 3.676 0.000
0.000 0.000 31.413
Li Ac Rh
3 6 3
Cartesian
0.000 0.000 0.000
0.000 2.450 20.942
2.122 1.225 10.471
0.000 0.000 3.602
0.000 0.000 27.812
0.000 2.450 17.341
0.000 2.450 24.544
2.122 1.225 6.870
2.122 1.225 14.073
0.000 0.000 15.707
0.000 2.450 5.236
2.122 1.225 26.178
```